Record 1
A PBEsol-optimized structure of BeNiAg2Ge. Source: Alexandria via LeMat-Bulk, functional meta-GGA SCAN. Values from VASP.

Output
ΔH_f (0 K) = 0.9511 eV/atom
total energy = -19.52 eV/atom

```
&SYSTEM
  ibrav = 0, nat = 5, ntyp = 4
/
ATOMIC_SPECIES
Be 9.01 Be.upf
Ni 58.69 Ni.upf
Ag 107.87 Ag.upf
Ge 72.64 Ge.upf
CELL_PARAMETERS angstrom
4.7001 0.0000 0.0000
0.0000 4.7001 0.0000
0.0000 0.0000 4.2951
ATOMIC_POSITIONS angstrom
Be 0.0000 0.0000 0.0000
Ni 2.3500 2.3500 0.0000
Ag 0.0000 2.3500 2.1476
Ag 2.3500 0.0000 2.1476
Ge 2.3500 2.3500 2.1476
```

Record 2
A PBEsol-optimized structure of BeAgH2. Source: Alexandria via LeMat-Bulk, functional meta-GGA SCAN. Values from VASP.

Output
total energy = -9.72 eV/atom

```
&SYSTEM
  ibrav = 0, nat = 16, ntyp = 3
/
ATOMIC_SPECIES
Be 9.01 Be.upf
Ag 107.87 Ag.upf
H 1.01 H.upf
CELL_PARAMETERS angstrom
5.1246 0.0000 0.0000
0.0000 5.1246 0.0000
0.0000 0.0000 5.1246
ATOMIC_POSITIONS angstrom
Be 0.0000 0.0000 0.0000
Be 0.0000 2.5623 2.5623
Be 2.5623 0.0000 2.5623
Be 2.5623 2.5623 0.0000
Ag 0.0000 0.0000 2.5623
Ag 0.0000 2.5623 0.0000
Ag 2.5623 0.0000 0.0000
Ag 2.5623 2.5623 2.5623
H 1.2812 1.2812 1.2812
H 1.2812 1.2812 3.8435
H 1.2812 3.8435 1.2812
H 1.2812 3.8435 3.8435
H 3.8435 1.2812 1.2812
H 3.8435 1.2812 3.8435
H 3.8435 3.8435 1.2812
H 3.8435 3.8435 3.8435
```

Record 3
A PBEsol-optimized structure of BeAg3H. Source: Alexandria via LeMat-Bulk, functional meta-GGA SCAN. Values from VASP.

Output
total energy = -19.42 eV/atom

```
&SYSTEM
  ibrav = 0, nat = 5, ntyp = 3
/
ATOMIC_SPECIES
Be 9.01 Be.upf
Ag 107.87 Ag.upf
H 1.01 H.upf
CELL_PARAMETERS angstrom
4.3470 0.0000 0.0000
0.0000 4.3470 0.0000
0.0000 0.0000 4.3470
ATOMIC_POSITIONS angstrom
Be 0.0000 0.0000 0.0000
Ag 0.0000 0.0000 2.1735
Ag 0.0000 2.1735 0.0000
Ag 2.1735 0.0000 0.0000
H 2.1735 2.1735 2.1735
```

Record 4
A PBEsol-optimized structure of Na2BeAgH. Source: Alexandria via LeMat-Bulk, functional meta-GGA SCAN. Values from VASP.

Output
total energy = -9.20 eV/atom

```
&SYSTEM
  ibrav = 0, nat = 5, ntyp = 4
/
ATOMIC_SPECIES
Na 22.99 Na.upf
Be 9.01 Be.upf
Ag 107.87 Ag.upf
H 1.01 H.upf
CELL_PARAMETERS angstrom
4.8329 0.0000 0.0000
0.0000 4.8329 0.0000
0.0000 0.0000 3.3784
ATOMIC_POSITIONS angstrom
Na 0.0000 2.4164 0.0000
Na 2.4164 0.0000 0.0000
Be 0.0000 0.0000 1.6892
Ag 2.4164 2.4164 1.6892
H 0.0000 0.0000 0.0000
```

Record 5
A PBEsol-optimized structure of BeNb2AgH. Source: Alexandria via LeMat-Bulk, functional meta-GGA SCAN. Values from VASP.

Output
total energy = -20.98 eV/atom

```
&SYSTEM
  ibrav = 0, nat = 5, ntyp = 4
/
ATOMIC_SPECIES
Be 9.01 Be.upf
Nb 92.91 Nb.upf
Ag 107.87 Ag.upf
H 1.01 H.upf
CELL_PARAMETERS angstrom
4.0173 0.0000 0.0000
0.0000 4.0173 0.0000
0.0000 0.0000 3.9683
ATOMIC_POSITIONS angstrom
Be 0.0000 0.0000 0.0000
Nb 0.0000 2.0087 1.9841
Nb 2.0087 0.0000 1.9841
Ag 2.0087 2.0087 0.0000
H 0.0000 0.0000 1.9841
```

Record 6
A PBEsol-optimized structure of Hf2Be2Ag. Source: Alexandria via LeMat-Bulk, functional meta-GGA SCAN. Values from VASP.

Output
ΔH_f (0 K) = -0.1866 eV/atom
total energy = -33.27 eV/atom

```
&SYSTEM
  ibrav = 0, nat = 10, ntyp = 3
/
ATOMIC_SPECIES
Hf 178.49 Hf.upf
Be 9.01 Be.upf
Ag 107.87 Ag.upf
CELL_PARAMETERS angstrom
6.2899 0.0000 0.0000
0.0000 6.2899 0.0000
0.0000 0.0000 3.7833
ATOMIC_POSITIONS angstrom
Hf 1.0694 2.0755 0.0000
Hf 2.0755 5.2205 0.0000
Hf 4.2144 1.0694 0.0000
Hf 5.2205 4.2144 0.0000
Be 0.7773 3.9222 1.8916
Be 2.3677 0.7773 1.8916
Be 3.9222 5.5127 1.8916
Be 5.5127 2.3677 1.8916
Ag 0.0000 0.0000 1.8916
Ag 3.1450 3.1450 1.8916
```

Record 7
A PBEsol-optimized structure of BeAgHg2. Source: Alexandria via LeMat-Bulk, functional meta-GGA SCAN. Values from VASP.

Output
ΔH_f (0 K) = 0.3407 eV/atom
total energy = -42.67 eV/atom

```
&SYSTEM
  ibrav = 0, nat = 4, ntyp = 3
/
ATOMIC_SPECIES
Be 9.01 Be.upf
Ag 107.87 Ag.upf
Hg 200.59 Hg.upf
CELL_PARAMETERS angstrom
4.4026 0.0000 0.0000
0.0000 4.4026 0.0000
0.0000 0.0000 3.5404
ATOMIC_POSITIONS angstrom
Be 0.0000 0.0000 0.0000
Ag 2.2013 2.2013 0.0000
Hg 0.0000 2.2013 1.7702
Hg 2.2013 0.0000 1.7702
```

Record 8
A PBEsol-optimized structure of BeAgHg2. Source: Alexandria via LeMat-Bulk, functional meta-GGA SCAN. Values from VASP.

Output
ΔH_f (0 K) = 0.2488 eV/atom
total energy = -42.76 eV/atom

```
&SYSTEM
  ibrav = 0, nat = 4, ntyp = 3
/
ATOMIC_SPECIES
Be 9.01 Be.upf
Ag 107.87 Ag.upf
Hg 200.59 Hg.upf
CELL_PARAMETERS angstrom
3.0758 0.0000 0.0000
0.0000 3.0758 0.0000
0.0000 0.0000 7.0464
ATOMIC_POSITIONS angstrom
Be 0.0000 0.0000 0.0000
Ag 0.0000 0.0000 3.5232
Hg 1.5379 1.5379 1.5398
Hg 1.5379 1.5379 5.5066
```

Record 9
A PBEsol-optimized structure of BeAg2I2. Source: Alexandria via LeMat-Bulk, functional meta-GGA SCAN. Values from VASP.

Output
raw formation energy = 0.551 eV per atom
total energy = -27.56 eV/atom

```
&SYSTEM
  ibrav = 0, nat = 10, ntyp = 3
/
ATOMIC_SPECIES
Be 9.01 Be.upf
Ag 107.87 Ag.upf
I 126.90 I.upf
CELL_PARAMETERS angstrom
4.0861 0.0000 0.0000
0.0000 4.0861 0.0000
0.0000 0.0000 15.7201
ATOMIC_POSITIONS angstrom
Be 0.0000 0.0000 0.0000
Be 2.0430 2.0430 7.8601
Ag 0.0000 2.0430 3.9300
Ag 0.0000 2.0430 11.7901
Ag 2.0430 0.0000 3.9300
Ag 2.0430 0.0000 11.7901
I 0.0000 0.0000 5.9807
I 0.0000 0.0000 9.7394
I 2.0430 2.0430 1.8794
I 2.0430 2.0430 13.8408
```

Record 10
A PBEsol-optimized structure of BeAgI2N. Source: Alexandria via LeMat-Bulk, functional meta-GGA SCAN. Values from VASP.

Output
raw formation energy = 0.345 eV per atom
total energy = -23.35 eV/atom

```
&SYSTEM
  ibrav = 0, nat = 5, ntyp = 4
/
ATOMIC_SPECIES
Be 9.01 Be.upf
Ag 107.87 Ag.upf
I 126.90 I.upf
N 14.01 N.upf
CELL_PARAMETERS angstrom
5.8623 0.0000 0.0000
0.0000 5.8623 0.0000
0.0000 0.0000 3.0773
ATOMIC_POSITIONS angstrom
Be 0.0000 0.0000 0.0000
Ag 2.9312 2.9312 1.5386
I 0.0000 2.9312 0.0000
I 2.9312 0.0000 0.0000
N 0.0000 0.0000 1.5386
```

Record 11
A PBEsol-optimized structure of BeAg2SI. Source: Alexandria via LeMat-Bulk, functional meta-GGA SCAN. Values from VASP.

Output
raw formation energy = 0.211 eV per atom
total energy = -22.48 eV/atom

```
&SYSTEM
  ibrav = 0, nat = 5, ntyp = 4
/
ATOMIC_SPECIES
Be 9.01 Be.upf
Ag 107.87 Ag.upf
S 32.06 S.upf
I 126.90 I.upf
CELL_PARAMETERS angstrom
5.1124 0.0000 0.0000
0.0000 5.1124 0.0000
0.0000 0.0000 3.7903
ATOMIC_POSITIONS angstrom
Be 0.0000 0.0000 0.0000
Ag 0.0000 2.5562 0.0000
Ag 2.5562 0.0000 0.0000
S 0.0000 0.0000 1.8951
I 2.5562 2.5562 1.8951
```

Record 12
A PBEsol-optimized structure of BeAgSbI2. Source: Alexandria via LeMat-Bulk, functional meta-GGA SCAN. Values from VASP.

Output
raw formation energy = 0.961 eV per atom
polymorph energy (0 for the lowest one) = 0.331 eV per atom
total energy = -28.33 eV/atom

```
&SYSTEM
  ibrav = 0, nat = 5, ntyp = 4
/
ATOMIC_SPECIES
Be 9.01 Be.upf
Ag 107.87 Ag.upf
Sb 121.76 Sb.upf
I 126.90 I.upf
CELL_PARAMETERS angstrom
5.5195 0.0000 0.0000
0.0000 5.5195 0.0000
0.0000 0.0000 5.3742
ATOMIC_POSITIONS angstrom
Be 0.0000 0.0000 0.0000
Ag 2.7597 2.7597 2.6871
Sb 2.7597 2.7597 0.0000
I 0.0000 2.7597 2.6871
I 2.7597 0.0000 2.6871
```

- Among the records above, which one has the lowest total energy?
  number 8

- What is the formula in the fifth record?
  BeNb2AgH

- What is the total energy in the fourth record?
  -9.20 eV/atom